Entry 1:
LaSn3Se6, relaxed, DFT PBE; DFT total energy = -4.5372 eV/atom; crystal system = monoclinic; Fermi-level density of states = 0.3336 states/eV per atom; space-group type = P2_1/m; magnetic moment = 0.00 μB per formula unit
1.0
12.1644 0.0000 0.0000
0.0000 4.1375 0.0000
-5.3098 0.0000 11.1277
La Sn Se
2 6 12
Cartesian
2.3172 1.0344 0.7135
4.5373 3.1031 10.4142
-0.8642 3.1031 3.1939
1.8110 1.0344 5.3740
0.0798 3.1031 9.3129
6.7747 1.0344 1.8148
5.0435 3.1031 5.7538
7.7188 1.0344 7.9339
-4.4868 3.1031 10.0583
-0.9216 1.0344 5.0996
-1.6256 1.0344 8.8625
1.8136 3.1031 2.9160
4.6773 3.1031 0.7717
1.8909 3.1031 7.3089
4.9636 1.0344 3.8188
2.1772 1.0344 10.3560
5.0409 1.0344 8.2118
8.4802 3.1031 2.2653
7.7761 3.1031 6.0281
11.3413 1.0344 1.0694

Entry 2:
La2Sn2Se, relaxed, DFT PBE; DFT total energy = -5.2807 eV/atom; crystal system = tetragonal; Fermi-level density of states = 0.3568 states/eV per atom; space-group type = P4/mbm; magnetic moment = 0.00 μB per formula unit
1.0
8.1696 0.0000 0.0000
0.0000 8.1696 0.0000
0.0000 0.0000 4.8620
La Sn Se
4 4 2
Cartesian
1.4653 2.6195 0.0000
2.6195 6.7043 0.0000
5.5501 1.4653 0.0000
6.7043 5.5501 0.0000
0.9904 5.0752 2.4310
3.0944 0.9904 2.4310
5.0752 7.1792 2.4310
7.1792 3.0944 2.4310
0.0000 0.0000 0.0000
4.0848 4.0848 0.0000

| no. | ΔE_f (raw) (meV/atom) |
| --- | --- |
| 1 | -753 |
| 2 | -1012 |